[1]
VASP calculation (SCAN) on a PBEsol-optimized structure of OsPt2Rh.

a b c (Å): 9.078 9.078 9.078
angles (deg): 17.24 17.24 17.24
Sites, in units of the cell vectors:
Os 0.000 0.000 0.000
Pt 0.250 0.250 0.250
Pt 0.496 0.496 0.496
Rh 0.745 0.745 0.745

Energy above the most stable polymorph in this dataset in kJ per mole of atoms: 2.8
Formation energy from the elements in eV/atom: 0.020
Symmetry: R3m
Magnetization in μB per formula unit: 0.000

=====

[2]
VASP calculation (SCAN) on a PBEsol-optimized structure of OsPtRh2.

a b c (Å): 4.684 4.684 4.679
angles (deg): 99.40 99.40 33.38
Sites, in units of the cell vectors:
Os 0.000 0.000 0.000
Pt 0.250 0.250 0.745
Rh 0.497 0.497 0.491
Rh 0.746 0.746 0.237

Energy above the most stable polymorph in this dataset in kJ per mole of atoms: 8.0
Formation energy from the elements in eV/atom: 0.037
Symmetry: Cm
Magnetization in μB per formula unit: 0.000

=====

[3]
VASP calculation (SCAN) on a PBEsol-optimized structure of Os2PtRh.

a b c (Å): 2.705 3.819 5.440
angles (deg): 90.00 90.00 90.00
Sites, in units of the cell vectors:
Os 0.000 0.000 0.000
Os 0.500 0.500 0.232
Pt 0.000 0.000 0.495
Rh 0.500 0.500 0.749

Energy above the most stable polymorph in this dataset in kJ per mole of atoms: 1.7
Formation energy from the elements in eV/atom: 0.058
Symmetry: Pmm2
Magnetization in μB per formula unit: 0.000

=====

[4]
VASP calculation (SCAN) on a PBEsol-optimized structure of Os2PtRh.

a b c (Å): 2.702 2.702 7.704
angles (deg): 90.00 90.00 90.00
Sites, in units of the cell vectors:
Os 0.000 0.000 0.000
Os 0.500 0.500 0.240
Pt 0.000 0.000 0.496
Rh 0.500 0.500 0.758

Energy above the most stable polymorph in this dataset in kJ per mole of atoms: 0.0
Formation energy from the elements in eV/atom: 0.040
Symmetry: P4mm
Magnetization in μB per formula unit: 0.000

=====

[5]
VASP calculation (SCAN) on a PBEsol-optimized structure of OsPtRh2.

a b c (Å): 2.692 3.834 5.395
angles (deg): 90.00 90.00 90.00
Sites, in units of the cell vectors:
Os 0.000 0.000 0.000
Pt 0.500 0.500 0.255
Rh 0.000 0.000 0.511
Rh 0.500 0.500 0.765

Energy above the most stable polymorph in this dataset in kJ per mole of atoms: 8.3
Formation energy from the elements in eV/atom: 0.040
Symmetry: Pmm2
Magnetization in μB per formula unit: 0.000

=====

[6]
VASP calculation (SCAN) on a PBEsol-optimized structure of Os2PtRh.

a b c (Å): 2.670 2.670 9.361
angles (deg): 90.00 90.00 119.51
Sites, in units of the cell vectors:
Os 0.000 0.000 0.000
Os 0.500 0.500 0.243
Pt 0.500 0.500 0.742
Rh 0.000 0.000 0.487

Energy above the most stable polymorph in this dataset in kJ per mole of atoms: 36.7
Formation energy from the elements in eV/atom: 0.420
Symmetry: Cmm2
Magnetization in μB per formula unit: 1.520

=====

[7]
VASP calculation (SCAN) on a PBEsol-optimized structure of OsPt2Rh.

a b c (Å): 3.850 3.850 3.857
angles (deg): 90.00 90.00 90.00
Sites, in units of the cell vectors:
Os 0.000 0.000 0.000
Pt 0.000 0.500 0.500
Pt 0.500 0.000 0.500
Rh 0.500 0.500 0.000

Energy above the most stable polymorph in this dataset in kJ per mole of atoms: 16.0
Formation energy from the elements in eV/atom: 0.157
Symmetry: P4/mmm
Magnetization in μB per formula unit: 0.001

=====

[8]
VASP calculation (SCAN) on a PBEsol-optimized structure of OsPt2Rh.

a b c (Å): 4.731 4.731 4.731
angles (deg): 132.19 132.19 69.93
Sites, in units of the cell vectors:
Os 0.000 0.000 0.000
Pt 0.500 0.500 0.000
Pt 0.750 0.250 0.500
Rh 0.250 0.750 0.500

Energy above the most stable polymorph in this dataset in kJ per mole of atoms: 5.7
Formation energy from the elements in eV/atom: 0.051
Symmetry: I-4m2
Magnetization in μB per formula unit: 0.000